First-principles (PBE-GGA) data for crystalline In4Bi at its relaxed geometry, as listed in Alexandria via LeMat-Bulk.

a = 3.434 Å, b = 3.434 Å, c = 13.938 Å
α = 90.06°, β = 90.06°, γ = 60.09°
Sites, in units of the cell vectors:
1 In 0.342 0.342 0.795
2 In 0.673 0.673 0.599
3 In 0.327 0.327 0.401
4 In 0.658 0.658 0.205
5 Bi 0.000 0.000 0.000

Properties
DFT total energy ... -2.944 eV per atom
Size of the total moment ... 0.0 μB/cell
Calculated volume ... 142.49 Å³ per cell
Polymorph energy (0 for the lowest one) ... 1 meV per atom
Space-group type ... C2/m (12)
Crystal system ... monoclinic

First-principles (PBE-GGA) data for crystalline In5Bi2 at its relaxed geometry, as listed in Alexandria via LeMat-Bulk.

a = 4.742 Å, b = 5.934 Å, c = 7.991 Å
α = 97.95°, β = 90.00°, γ = 113.55°
Sites, in units of the cell vectors:
1 In 0.359 0.717 0.078
2 In 0.641 0.283 0.922
3 In 0.211 0.421 0.635
4 In 0.500 0.000 0.500
5 In 0.789 0.579 0.365
6 Bi 0.075 0.149 0.213
7 Bi 0.925 0.851 0.787

Properties
DFT total energy ... -3.042 eV per atom
Size of the total moment ... 0.0 μB/cell
Calculated volume ... 203.81 Å³ per cell
Space-group type ... C2/m (12)
Crystal system ... monoclinic

Number 1: E_form 23.0 meV per atom. Number 2: E_form 22.7 meV per atom.